# 1
## FeTeRu2 (PBE-GGA)

Data for crystalline FeTeRu2 at its relaxed geometry.

The space group is P4mm (No. 99) and the conventional cell measures 3.1561, 3.1561 and 6.2744 Å, with angles of 90.00, 90.00 and 90.00 degrees. The inequivalent atoms are Fe at (0.0000, 0.0000, 0.0000), Te at (0.5000, 0.5000, 0.7347), Ru at (0.0000, 0.0000, 0.4754) and Ru at (0.5000, 0.5000, 0.2114).

The uncorrected formation energy comes out at 0.4416 eV per atom. The total moment is 0.95 μB/atom. The density of states at the Fermi level is 3.5 states/eV/cell. The total DFT energy (no corrections) comes out at -28.4 eV/cell. The value obtained for the volume is 62 Å³ per cell.

***

# 2
## Ac3IrI3 (PBE-GGA)

Data for crystalline Ac3IrI3 at its relaxed geometry.

The space group is Cmcm (No. 63) and the conventional cell measures 10.0174, 17.3011 and 6.7900 Å, with angles of 90.00, 90.00 and 90.00 degrees. The inequivalent atoms are Ac at (0.0000, 0.1745, 0.2500), Ac at (0.2366, 0.4124, 0.2500), Ir at (0.0000, 0.3329, 0.2500), I at (0.0000, 0.2051, 0.7500) and I at (0.1913, 0.3973, 0.7500).

The uncorrected formation energy comes out at -0.6355 eV per atom. The total moment is 0.00 μB/atom. The density of states at the Fermi level is 15.4 states/eV/cell. The total DFT energy (no corrections) comes out at -121.1 eV/cell. The value obtained for the volume is 1177 Å³ per cell. The relative energy among the computed polymorphs comes out at 0.5747 eV per atom.

***

# 3
## Sm6HfO12 (PBE-GGA)

Data for crystalline Sm6HfO12 at its relaxed geometry.

The space group is R-3 (No. 148, hexagonal axes) and the conventional cell measures 10.1508, 10.1508 and 9.5953 Å, with angles of 90.00, 90.00 and 120.00 degrees. The inequivalent atoms are Sm at (0.0549, 0.2639, 0.1542), Hf at (0.0000, 0.0000, 0.5000), O at (0.0405, 0.1982, 0.3923) and O at (0.0412, 0.2239, 0.9014).

The uncorrected formation energy comes out at -3.2437 eV per atom. The total moment is 0.11 μB/atom. The density of states at the Fermi level is 33.1 states/eV/cell. The total DFT energy (no corrections) comes out at -478.2 eV/cell. The value obtained for the volume is 856 Å³ per cell.

***

# 4
## UGaMo (PBE-GGA)

Data for crystalline UGaMo at its relaxed geometry.

The space group is R-3m (No. 166, hexagonal axes) and the conventional cell measures 4.7554, 4.7554 and 18.3525 Å, with angles of 90.00, 90.00 and 120.00 degrees. The inequivalent atoms are U at (0.0000, 0.0000, 0.2120), Ga at (0.0000, 0.0000, 0.3767) and Mo at (0.0000, 0.0000, 0.0776).

The total moment is 0.41 μB/atom. The density of states at the Fermi level is 34.3 states/eV/cell. For the calculated formation energy, the calculation gives 0.36 eV/atom. The total DFT energy (no corrections) comes out at -144.4 eV/cell. The value obtained for the volume is 359 Å³ per cell. The relative energy among the computed polymorphs comes out at 0.2553 eV per atom.